A plane-wave DFT calculation with SCAN was carried out for a PBEsol-optimized structure of La3Re2.

```
data_La3Re2
_cell_length_a 11.849
_cell_length_b 11.849
_cell_length_c 11.849
_cell_angle_alpha 16.37
_cell_angle_beta 16.37
_cell_angle_gamma 16.37
_symmetry_space_group_name_H-M 'P 1'
_symmetry_Int_Tables_number 1
loop_
_symmetry_equiv_pos_as_xyz
'x,y,z'
loop_
_atom_site_label
_atom_site_type_symbol
_atom_site_fract_x
_atom_site_fract_y
_atom_site_fract_z
La1 La 0.000 0.000 0.000
La2 La 0.208 0.208 0.208
La3 La 0.792 0.792 0.792
Re1 Re 0.398 0.398 0.398
Re2 Re 0.602 0.602 0.602
```

Output
The value obtained for the density of states at the Fermi level is 0.784 states/eV per atom. The formation energy comes out at 0.716 eV/atom. The calculation puts the spin magnetization at 0.000 Bohr magnetons per cell.